! Li4Mg2HgPt | the Open Quantum Materials Database | PBE | optimized geometry; values from VASP
! - Size of the total moment: 0.01 μB per formula unit
&SYSTEM
  ibrav = 0, nat = 8, ntyp = 4
/
ATOMIC_SPECIES
Hg 200.59 Hg.upf
Li 6.94 Li.upf
Mg 24.30 Mg.upf
Pt 195.08 Pt.upf
CELL_PARAMETERS angstrom
-3.019 -1.281 -3.099
1.377 -4.275 0.425
-4.437 -0.960 4.719
ATOMIC_POSITIONS angstrom
Hg 0.000 0.000 0.000
Li -0.821 -2.778 -1.337
Li -2.687 -0.895 -0.297
Li -2.219 -0.480 2.360
Li -2.571 -2.843 3.679
Mg -0.535 -2.403 1.514
Mg -4.723 -1.336 1.869
Pt -3.039 -3.258 1.023

=====

AgPb2Cl5 after structural relaxation, computed with PBE. Values from VASP.

Structure (Quantum ESPRESSO input):
```
&SYSTEM
  ibrav = 0, nat = 16, ntyp = 3
/
ATOMIC_SPECIES
Ag 107.87 Ag.upf
Cl 35.45 Cl.upf
Pb 207.20 Pb.upf
CELL_PARAMETERS angstrom
-3.287 2.401 7.633
-2.758 -4.460 6.881
7.341 0.316 2.284
ATOMIC_POSITIONS angstrom
Ag -1.379 -2.230 3.440
Ag 2.027 1.358 4.959
Cl -1.853 -1.624 6.099
Cl -3.357 -2.124 11.622
Cl -1.416 2.013 8.153
Cl 1.072 -0.936 3.907
Cl -0.398 -1.872 9.382
Cl 1.694 0.129 7.416
Cl 0.224 -0.808 12.892
Cl 2.712 -3.757 8.645
Cl 4.652 0.381 5.176
Cl 3.149 -0.119 10.700
Pb -3.057 -3.023 8.679
Pb 0.961 -2.483 6.582
Pb 0.335 0.740 10.216
Pb 4.353 1.280 8.119
```

=====

! Gd2Ho2Al3 | the Open Quantum Materials Database | PBE | optimized geometry; values from VASP
! - Size of the total moment: 0.04 μB per formula unit
&SYSTEM
  ibrav = 0, nat = 7, ntyp = 3
/
ATOMIC_SPECIES
Al 26.98 Al.upf
Gd 157.25 Gd.upf
Ho 164.93 Ho.upf
CELL_PARAMETERS angstrom
5.950 -2.505 0.000
5.950 2.505 0.000
-2.548 0.000 6.125
ATOMIC_POSITIONS angstrom
Al 0.000 0.000 0.000
Al 1.727 0.000 2.047
Al 7.625 0.000 4.078
Gd 5.740 0.000 1.711
Gd 3.612 0.000 4.414
Ho 9.205 0.000 1.230
Ho 0.147 0.000 4.895

=====

HgP8 after structural relaxation, computed with PBE. Values from VASP.

Structure (Quantum ESPRESSO input):
```
&SYSTEM
  ibrav = 0, nat = 9, ntyp = 2
/
ATOMIC_SPECIES
Hg 200.59 Hg.upf
P 30.97 P.upf
CELL_PARAMETERS angstrom
7.977 0.000 0.000
-3.988 6.908 0.000
0.000 0.000 3.864
ATOMIC_POSITIONS angstrom
Hg 0.000 0.000 1.932
P 2.112 1.219 0.000
P 5.865 1.219 0.000
P 3.988 2.303 0.000
P 0.000 2.439 0.000
P 3.988 4.469 0.000
P 0.000 4.605 0.000
P -1.876 5.689 0.000
P 1.876 5.689 0.000
```

=====

! RbNbGe | the Open Quantum Materials Database | PBE | optimized geometry; values from VASP
! - Size of the total moment: 2.32 μB per formula unit
&SYSTEM
  ibrav = 0, nat = 3, ntyp = 3
/
ATOMIC_SPECIES
Ge 72.64 Ge.upf
Nb 92.91 Nb.upf
Rb 85.47 Rb.upf
CELL_PARAMETERS angstrom
-2.089 -4.025 -2.342
-4.856 0.191 -1.559
-1.073 0.221 -4.985
ATOMIC_POSITIONS angstrom
Ge -2.005 -0.903 -2.221
Nb -6.014 -2.710 -6.664
Rb 0.000 0.000 0.000

=====

CsAuI2Br after structural relaxation, computed with PBE. Values from VASP.

Structure (Quantum ESPRESSO input):
```
&SYSTEM
  ibrav = 0, nat = 10, ntyp = 4
/
ATOMIC_SPECIES
Au 196.97 Au.upf
Br 79.90 Br.upf
Cs 132.91 Cs.upf
I 126.90 I.upf
CELL_PARAMETERS angstrom
5.696 1.258 5.997
-5.066 5.427 3.857
-2.638 -7.733 -1.800
ATOMIC_POSITIONS angstrom
Au 0.000 0.000 0.000
Au 0.315 3.343 4.927
Br 0.184 1.955 2.882
Br 0.446 4.731 6.973
Cs 1.687 -1.566 4.562
Cs -3.694 0.519 3.492
I 3.216 2.219 5.504
I -2.585 4.467 4.351
I -1.071 -2.024 1.442
I -0.936 0.977 6.613
```

=====

Here are the calculated calculated density numbers, same order: 5.88; 5.53; 6.60; 3.50; 4.43; 5.36 (Mg/m³).
Here are the calculated DFT total energy numbers, same order: -2.535; -3.406; -4.427; -4.175; -3.155; -2.551 (eV/atom).